No. 1
Here is PmMn4Cu3O12 after structural relaxation from Alexandria. Energies are from GGA+U.

DFT total energy = -6.7459 eV/atom
D(E_F) = 7.796 states/eV/cell

Cell and atoms, written as POSCAR:
```
PmMn4Cu3O12
1.0
-3.7215 3.7215 3.7215
3.7215 -3.7215 3.7215
3.7215 3.7215 -3.7215
Pm Mn Cu O
1 4 3 12
Direct
0.0000 0.0000 0.0000 Pm
0.0000 0.0000 0.5000 Mn
0.0000 0.5000 0.0000 Mn
0.5000 0.0000 0.0000 Mn
0.5000 0.5000 0.5000 Mn
0.0000 0.5000 0.5000 Cu
0.5000 0.0000 0.5000 Cu
0.5000 0.5000 0.0000 Cu
0.1351 0.8297 0.3054 O
0.1703 0.3054 0.4756 O
0.1703 0.6946 0.8649 O
0.3054 0.1351 0.8297 O
0.3054 0.4756 0.1703 O
0.4756 0.1703 0.3054 O
0.5244 0.8297 0.6946 O
0.6946 0.5244 0.8297 O
0.6946 0.8649 0.1703 O
0.8297 0.3054 0.1351 O
0.8297 0.6946 0.5244 O
0.8649 0.1703 0.6946 O
```



No. 2
Here is Pr2MnCuO5 after structural relaxation from Alexandria. Energies are from GGA+U.

DFT total energy = -7.3062 eV/atom
D(E_F) = 1.174 states/eV/cell

Cell and atoms, written as POSCAR:
```
Pr2MnCuO5
1.0
3.7448 0.0000 0.0000
0.0000 3.7448 0.0000
0.0000 0.0000 8.5772
Pr Mn Cu O
2 1 1 5
Direct
0.0000 0.0000 0.2136 Pr
0.0000 0.0000 0.7864 Pr
0.5000 0.5000 0.5000 Mn
0.5000 0.5000 0.0000 Cu
0.0000 0.0000 0.5000 O
0.0000 0.5000 0.0000 O
0.5000 0.0000 0.0000 O
0.5000 0.5000 0.2701 O
0.5000 0.5000 0.7299 O
```



No. 3
Here is Sr3Pr3Mn2Cu2O13 after structural relaxation from Alexandria. Energies are from GGA+U.

DFT total energy = -6.9329 eV/atom
D(E_F) = 3.329 states/eV/cell

Cell and atoms, written as POSCAR:
```
Sr3Pr3Mn2Cu2O13
1.0
5.4758 0.0000 0.0000
0.0000 2.7370 10.1912
0.0000 -2.7370 10.1912
Sr Pr Mn Cu O
3 3 2 2 13
Direct
0.0000 0.0000 0.0000 Sr
0.0000 0.1795 0.1795 Sr
0.5000 0.6813 0.6813 Sr
0.0000 0.3630 0.3630 Pr
0.5000 0.5043 0.5043 Pr
0.5000 0.8623 0.8623 Pr
0.0000 0.5878 0.5878 Mn
0.0000 0.7772 0.7772 Mn
0.5000 0.0841 0.0841 Cu
0.5000 0.2793 0.2793 Cu
0.0000 0.4810 0.4810 O
0.0000 0.6843 0.6843 O
0.0000 0.8771 0.8771 O
0.2495 0.0332 0.5275 O
0.2495 0.5275 0.0332 O
0.2561 0.3400 0.8368 O
0.2561 0.8368 0.3400 O
0.5000 0.3908 0.3908 O
0.5000 0.9733 0.9733 O
0.7439 0.3400 0.8368 O
0.7439 0.8368 0.3400 O
0.7505 0.0332 0.5275 O
0.7505 0.5275 0.0332 O
```



Look up the DFT total energy of the third one. -6.9329 eV/atom



D(E_F) of number 2 (Pr2MnCuO5)? 1.174 states/eV/cell



Which value of D(E_F) does entry 3 give? 3.329 states/eV/cell



What is the DFT total energy in the first record? -6.7459 eV/atom